[1]
# PBE Mg2V3WS8, relaxed
data_Mg2V3WS8
_space_group_name_H-M_alt 'P 1'
_space_group_IT_number 1
_space_group_name_Hall 'P 1'
_cell_length_a 7.165
_cell_length_b 7.165
_cell_length_c 7.165
_cell_angle_alpha 61.63
_cell_angle_beta 61.63
_cell_angle_gamma 61.63
loop_
_atom_site_label
_atom_site_type_symbol
_atom_site_fract_x
_atom_site_fract_y
_atom_site_fract_z
Mg1 Mg 0.874 0.874 0.874
Mg2 Mg 0.126 0.126 0.126
V1 V 0.500 0.500 0.000
V2 V 0.500 0.000 0.500
V3 V 0.000 0.500 0.500
W1 W 0.500 0.500 0.500
S1 S 0.737 0.737 0.737
S2 S 0.259 0.259 0.720
S3 S 0.720 0.259 0.259
S4 S 0.259 0.720 0.259
S5 S 0.280 0.741 0.741
S6 S 0.741 0.280 0.741
S7 S 0.263 0.263 0.263
S8 S 0.741 0.741 0.280
# E_form (uncorrected): -82.8 kJ/mol of atoms

[2]
# PBE Y3Mg2VS8, relaxed
data_Y3Mg2VS8
_space_group_name_H-M_alt 'P 1'
_space_group_IT_number 1
_space_group_name_Hall 'P 1'
_cell_length_a 7.798
_cell_length_b 7.697
_cell_length_c 7.797
_cell_angle_alpha 59.58
_cell_angle_beta 59.99
_cell_angle_gamma 59.55
loop_
_atom_site_label
_atom_site_type_symbol
_atom_site_fract_x
_atom_site_fract_y
_atom_site_fract_z
Y1 Y 0.500 0.500 0.500
Y2 Y 0.500 0.500 0.000
Y3 Y 0.000 0.500 0.500
Mg1 Mg 0.875 0.875 0.875
Mg2 Mg 0.125 0.125 0.125
V1 V 0.500 0.000 0.500
S1 S 0.731 0.768 0.731
S2 S 0.269 0.232 0.730
S3 S 0.254 0.737 0.254
S4 S 0.730 0.232 0.269
S5 S 0.746 0.263 0.746
S6 S 0.270 0.768 0.731
S7 S 0.269 0.232 0.269
S8 S 0.731 0.768 0.270
# E_form (uncorrected): -156.7 kJ/mol of atoms

[3]
# PBE YMgVS4, relaxed
data_YMgVS4
_space_group_name_H-M_alt 'P 1'
_space_group_IT_number 1
_space_group_name_Hall 'P 1'
_cell_length_a 7.558
_cell_length_b 7.558
_cell_length_c 7.558
_cell_angle_alpha 120.25
_cell_angle_beta 118.87
_cell_angle_gamma 90.77
loop_
_atom_site_label
_atom_site_type_symbol
_atom_site_fract_x
_atom_site_fract_y
_atom_site_fract_z
Y1 Y 0.000 0.000 0.000
Y2 Y 0.500 0.000 0.500
Mg1 Mg 0.622 0.372 0.250
Mg2 Mg 0.378 0.628 0.750
V1 V 0.000 0.000 0.500
V2 V 0.000 0.500 0.000
S1 S 0.790 0.255 0.535
S2 S 0.233 0.734 0.001
S3 S 0.233 0.232 0.499
S4 S 0.779 0.745 0.035
S5 S 0.767 0.768 0.501
S6 S 0.221 0.255 0.965
S7 S 0.210 0.745 0.465
S8 S 0.767 0.266 0.999
# E_form (uncorrected): -134.1 kJ/mol of atoms